{
  "formula": "Pm3DyY8",
  "functional": "PBE-GGA",
  "state": "optimized geometry",
  "cell": [[-3.263, 5.644, 5.775], [3.263, -5.644, 5.775], [3.263, 5.644, -5.775]],
  "species": ["Pm", "Pm", "Pm", "Dy", "Y", "Y", "Y", "Y", "Y", "Y", "Y", "Y"],
  "fractional_positions": [[0.000, 0.000, 0.000], [0.253, 0.753, 0.500], [0.747, 0.247, 0.500], [0.500, 0.500, 0.000], [0.083, 0.250, 0.833], [0.254, 0.248, 0.502], [0.254, 0.752, 0.006], [0.418, 0.250, 0.167], [0.582, 0.750, 0.833], [0.746, 0.248, 0.994], [0.746, 0.752, 0.498], [0.917, 0.750, 0.167]],
  "dft_energy_ev_per_cell": -66.82,
  "formation_enthalpy_0k_ev_per_atom": 0.31,
  "spacegroup": "Immm",
  "magnetic_moment_mub_per_cell": 0.00
}